[1]
# Sr2HfAuBr

An optimized crystal structure of Sr2HfAuBr (PBE, the Alexandria database).

Values from the calculation:
Symmetry: P4/mmm, No. 123
Energy in eV per cell: -16.33

a b c (Å): 5.7931 5.2376 5.7931
angles (deg): 90.00 90.00 90.00
Sites, in units of the cell vectors:
Hf: 0.5000 0.5000 0.5000
Au: 0.0000 0.5000 0.0000
Br: 0.0000 0.0000 0.0000
Sr: 0.0000 0.0000 0.5000
Sr: 0.5000 0.0000 0.0000

[2]
# SrHfAuBr2

An optimized crystal structure of SrHfAuBr2 (PBE, the Alexandria database).

Values from the calculation:
Symmetry: P4/mmm, No. 123
Energy in eV per cell: -19.82

a b c (Å): 5.1177 7.2333 5.1177
angles (deg): 90.00 90.00 90.00
Sites, in units of the cell vectors:
Hf: 0.0000 0.0000 0.0000
Au: 0.5000 0.5000 0.5000
Br: 0.0000 0.0000 0.5000
Br: 0.5000 0.0000 0.0000
Sr: 0.0000 0.5000 0.0000

Repeat the first record exactly.
# Sr2HfAuBr

An optimized crystal structure of Sr2HfAuBr (PBE, the Alexandria database).

Values from the calculation:
Symmetry: P4/mmm, No. 123
Energy in eV per cell: -16.33

a b c (Å): 5.7931 5.2376 5.7931
angles (deg): 90.00 90.00 90.00
Sites, in units of the cell vectors:
Hf: 0.5000 0.5000 0.5000
Au: 0.0000 0.5000 0.0000
Br: 0.0000 0.0000 0.0000
Sr: 0.0000 0.0000 0.5000
Sr: 0.5000 0.0000 0.0000